No. 1
Mg2Cd3Pd8 | GGA-PBE | optimized geometry

a = 10.227 Å, b = 10.227 Å, c = 10.227 Å
α = 30.00°, β = 30.00°, γ = 30.00°
Positions (direct):
Mg 0.138 0.138 0.138
Mg 0.862 0.862 0.862
Cd 0.316 0.316 0.316
Cd 0.500 0.500 0.500
Cd 0.684 0.684 0.684
Pd 0.223 0.223 0.223
Pd 0.233 0.233 0.730
Pd 0.233 0.730 0.233
Pd 0.270 0.767 0.767
Pd 0.730 0.233 0.233
Pd 0.767 0.270 0.767
Pd 0.767 0.767 0.270
Pd 0.777 0.777 0.777

As for the space group: R-3m, No. 166. The formation energy is -193 meV per atom. The total energy is -50.0 eV per cell.

***

No. 2
Mg3Cd2Pd3 | GGA-PBE | optimized geometry

a = 9.209 Å, b = 9.209 Å, c = 9.209 Å
α = 156.87°, β = 152.87°, γ = 35.95°
Positions (direct):
Mg 0.000 0.000 0.000
Mg 0.384 0.884 0.500
Mg 0.616 0.116 0.500
Cd 0.249 0.249 0.000
Cd 0.751 0.751 0.000
Pd 0.122 0.622 0.500
Pd 0.500 0.500 0.000
Pd 0.878 0.378 0.500

As for the space group: Immm, No. 71. The formation energy is -521 meV per atom. The total energy is -26.4 eV per cell.

***

No. 3
Mg3CdPd3 | GGA-PBE | optimized geometry

a = 5.538 Å, b = 5.538 Å, c = 5.538 Å
α = 109.75°, β = 109.75°, γ = 109.75°
Positions (direct):
Mg 0.000 0.500 0.500
Mg 0.500 0.000 0.500
Mg 0.500 0.500 0.000
Cd 0.999 0.999 0.999
Pd 0.000 0.000 0.500
Pd 0.000 0.500 0.000
Pd 0.500 0.000 0.000

As for the space group: R3m, No. 160. The formation energy is -564 meV per atom. The total energy is -25.2 eV per cell.

***

No. 4
Mg3CdPd | GGA-PBE | optimized geometry

a = 7.595 Å, b = 7.595 Å, c = 5.865 Å
α = 98.09°, β = 98.09°, γ = 35.77°
Positions (direct):
Mg 0.016 0.016 0.267
Mg 0.212 0.212 0.144
Mg 0.351 0.351 0.565
Mg 0.649 0.649 0.435
Mg 0.788 0.788 0.856
Mg 0.984 0.984 0.733
Cd 0.407 0.407 0.081
Cd 0.593 0.593 0.919
Pd 0.165 0.165 0.661
Pd 0.835 0.835 0.339

As for the energy relative to the lowest polymorph listed for this composition: 0 meV per atom. As for the space group: C2/m, No. 12. The formation energy is -347 meV per atom. The total energy is -25.3 eV per cell.